#1
First-principles (PBE) data for a relaxed structure of LiTlOs, as listed in Alexandria via LeMat-Bulk.

The total magnetization is 0.000 μB/atom. The value obtained for the volume is 17.88 A^3/atom.

It has space group I4mm (No. 107), with a = 2.833 Å, b = 2.833 Å, c = 13.368 Å, α = 90.00°, β = 90.00° and γ = 90.00°. The distinct sites, in fractional coordinates, are Li at (0.000, 0.000, 0.000), Tl at (0.000, 0.000, 0.314) and Os at (0.000, 0.000, 0.642).

---

#2
First-principles (PBE) data for a relaxed structure of LiTlOs, as listed in Alexandria via LeMat-Bulk.

The total magnetization is 0.000 μB/atom. The value obtained for the volume is 16.99 A^3/atom.

It has space group Imm2 (No. 44), with a = 2.767 Å, b = 4.359 Å, c = 8.455 Å, α = 90.00°, β = 90.00° and γ = 90.00°. The distinct sites, in fractional coordinates, are Li at (0.000, 0.000, 0.000), Tl at (0.000, 0.000, 0.325) and Os at (0.000, 0.000, 0.660).

---

Relative to the most stable one, in kJ/mol of atoms, the structures come out at #1 5.6; #2 0.0.

---

#1
First-principles (PBE) data for a relaxed structure of LiTl3Os, as listed in Alexandria via LeMat-Bulk.

The total magnetization is 0.000 μB/atom. The value obtained for the volume is 30.09 A^3/atom.

It has space group Pm-3m (No. 221), with a = 5.319 Å, b = 5.319 Å, c = 5.319 Å, α = 90.00°, β = 90.00° and γ = 90.00°. The distinct sites, in fractional coordinates, are Li at (0.000, 0.000, 0.000), Tl at (0.000, 0.500, 0.500) and Os at (0.500, 0.500, 0.500).

---

#2
First-principles (PBE) data for a relaxed structure of LiTl3Os, as listed in Alexandria via LeMat-Bulk.

The total magnetization is 0.472 μB/atom. The value obtained for the volume is 24.38 A^3/atom.

It has space group Pm-3m (No. 221), with a = 4.958 Å, b = 4.958 Å, c = 4.958 Å, α = 90.00°, β = 90.00° and γ = 90.00°. The distinct sites, in fractional coordinates, are Li at (0.000, 0.000, 0.000), Tl at (0.000, 0.000, 0.500) and Os at (0.500, 0.500, 0.500).

---

Relative to the most stable one, in kJ/mol of atoms, the structures come out at #1 0.0; #2 73.8.

---

#1
First-principles (PBE) data for a relaxed structure of LiUOs2, as listed in Alexandria via LeMat-Bulk.

The total magnetization is 0.000 μB/atom. The value obtained for the volume is 15.80 A^3/atom.

It has space group P4/mmm (No. 123), with a = 4.124 Å, b = 4.124 Å, c = 3.717 Å, α = 90.00°, β = 90.00° and γ = 90.00°. The distinct sites, in fractional coordinates, are Li at (0.000, 0.000, 0.000), U at (0.500, 0.500, 0.000) and Os at (0.000, 0.500, 0.500).

---

#2
First-principles (PBE) data for a relaxed structure of LiUOs2, as listed in Alexandria via LeMat-Bulk.

The total magnetization is 0.001 μB/atom. The value obtained for the volume is 15.95 A^3/atom.

It has space group R-3m (No. 166, hexagonal axes), with a = 2.8046 Å, b = 2.8046 Å, c = 28.0955 Å, α = 90.00°, β = 90.00° and γ = 120.00°. The distinct sites, in fractional coordinates, are Li at (0.0000, 0.0000, 0.0000), U at (0.0000, 0.0000, 0.5000) and Os at (0.0000, 0.0000, 0.2544).

---

Relative to the most stable one, in kJ/mol of atoms, the structures come out at #1 0.0; #2 38.4.

---

#1
First-principles (PBE) data for a relaxed structure of LiVOs3, as listed in Alexandria via LeMat-Bulk.

The total magnetization is 0.000 μB/atom. The value obtained for the volume is 13.48 A^3/atom.

It has space group Pm-3m (No. 221), with a = 4.070 Å, b = 4.070 Å, c = 4.070 Å, α = 90.00°, β = 90.00° and γ = 90.00°. The distinct sites, in fractional coordinates, are Li at (0.000, 0.000, 0.000), V at (0.500, 0.500, 0.500) and Os at (0.000, 0.000, 0.500).

---

#2
First-principles (PBE) data for a relaxed structure of LiVOs3, as listed in Alexandria via LeMat-Bulk.

The total magnetization is 0.273 μB/atom. The value obtained for the volume is 18.35 A^3/atom.

It has space group Pm-3m (No. 221), with a = 4.510 Å, b = 4.510 Å, c = 4.510 Å, α = 90.00°, β = 90.00° and γ = 90.00°. The distinct sites, in fractional coordinates, are Li at (0.000, 0.000, 0.000), V at (0.500, 0.500, 0.500) and Os at (0.000, 0.500, 0.500).

---

Relative to the most stable one, in kJ/mol of atoms, the structures come out at #1 0.0; #2 47.0.

---

#1
First-principles (PBE) data for a relaxed structure of LiV3Os, as listed in Alexandria via LeMat-Bulk.

The total magnetization is 0.431 μB/atom. The value obtained for the volume is 13.30 A^3/atom.

It has space group Pm-3m (No. 221), with a = 4.051 Å, b = 4.051 Å, c = 4.051 Å, α = 90.00°, β = 90.00° and γ = 90.00°. The distinct sites, in fractional coordinates, are Li at (0.000, 0.000, 0.000), V at (0.000, 0.000, 0.500) and Os at (0.500, 0.500, 0.500).

---

#2
First-principles (PBE) data for a relaxed structure of LiV3Os, as listed in Alexandria via LeMat-Bulk.

The total magnetization is 0.167 μB/atom. The value obtained for the volume is 19.84 A^3/atom.

It has space group Pm-3m (No. 221), with a = 4.629 Å, b = 4.629 Å, c = 4.629 Å, α = 90.00°, β = 90.00° and γ = 90.00°. The distinct sites, in fractional coordinates, are Li at (0.000, 0.000, 0.000), V at (0.000, 0.500, 0.500) and Os at (0.500, 0.500, 0.500).

---

Relative to the most stable one, in kJ/mol of atoms, the structures come out at #1 10.4; #2 0.0.

---

#1
First-principles (PBE) data for a relaxed structure of LiOsW3, as listed in Alexandria via LeMat-Bulk.

The total magnetization is 0.000 μB/atom. The value obtained for the volume is 14.69 A^3/atom.

It has space group Pm-3m (No. 221), with a = 4.188 Å, b = 4.188 Å, c = 4.188 Å, α = 90.00°, β = 90.00° and γ = 90.00°. The distinct sites, in fractional coordinates, are Li at (0.000, 0.000, 0.000), Os at (0.500, 0.500, 0.500) and W at (0.000, 0.000, 0.500).

---

#2
First-principles (PBE) data for a relaxed structure of LiOsW3, as listed in Alexandria via LeMat-Bulk.

The total magnetization is 0.000 μB/atom. The value obtained for the volume is 21.99 A^3/atom.

It has space group Pm-3m (No. 221), with a = 4.791 Å, b = 4.791 Å, c = 4.791 Å, α = 90.00°, β = 90.00° and γ = 90.00°. The distinct sites, in fractional coordinates, are Li at (0.000, 0.000, 0.000), Os at (0.500, 0.500, 0.500) and W at (0.000, 0.500, 0.500).

---

Relative to the most stable one, in kJ/mol of atoms, the structures come out at #1 0.0; #2 47.3.

---

#1
First-principles (PBE) data for a relaxed structure of LiYOs, as listed in Alexandria via LeMat-Bulk.

The total magnetization is 0.000 μB/atom. The value obtained for the volume is 21.68 A^3/atom.

It has space group F-43m (No. 216), with a = 6.383 Å, b = 6.383 Å, c = 6.383 Å, α = 90.00°, β = 90.00° and γ = 90.00°. The distinct sites, in fractional coordinates, are Li at (0.000, 0.000, 0.000), Y at (0.000, 0.000, 0.500) and Os at (0.250, 0.250, 0.750).

---

#2
First-principles (PBE) data for a relaxed structure of LiYOs, as listed in Alexandria via LeMat-Bulk.

The total magnetization is 0.000 μB/atom. The value obtained for the volume is 17.98 A^3/atom.

It has space group I4mm (No. 107), with a = 3.465 Å, b = 3.465 Å, c = 8.982 Å, α = 90.00°, β = 90.00° and γ = 90.00°. The distinct sites, in fractional coordinates, are Li at (0.000, 0.000, 0.000), Y at (0.000, 0.000, 0.699) and Os at (0.000, 0.000, 0.372).

---

#3
First-principles (PBE) data for a relaxed structure of LiYOs, as listed in Alexandria via LeMat-Bulk.

The total magnetization is 0.000 μB/atom. The value obtained for the volume is 22.33 A^3/atom.

It has space group F-43m (No. 216), with a = 6.447 Å, b = 6.447 Å, c = 6.447 Å, α = 90.00°, β = 90.00° and γ = 90.00°. The distinct sites, in fractional coordinates, are Li at (0.000, 0.000, 0.000), Y at (0.250, 0.250, 0.250) and Os at (0.000, 0.000, 0.500).

---

#4
First-principles (PBE) data for a relaxed structure of LiYOs, as listed in Alexandria via LeMat-Bulk.

The total magnetization is 0.000 μB/atom. The value obtained for the volume is 18.32 A^3/atom.

It has space group P3m1 (No. 156), with a = 4.4764 Å, b = 4.4764 Å, c = 3.1674 Å, α = 90.00°, β = 90.00° and γ = 120.00°. The distinct sites, in fractional coordinates, are Li at (0.0000, 0.0000, 0.0000), Y at (0.6667, 0.3333, 0.5045) and Os at (0.3333, 0.6667, 0.0068).

---

Relative to the most stable one, in kJ/mol of atoms, the structures come out at #1 35.5; #2 0.0; #3 74.0; #4 4.1.

---

#1
First-principles (PBE) data for a relaxed structure of LiY2Os, as listed in Alexandria via LeMat-Bulk.

The total magnetization is 0.000 μB/atom. The value obtained for the volume is 20.97 A^3/atom.

It has space group Fm-3m (No. 225), with a = 6.949 Å, b = 6.949 Å, c = 6.949 Å, α = 90.00°, β = 90.00° and γ = 90.00°. The distinct sites, in fractional coordinates, are Li at (0.000, 0.000, 0.000), Y at (0.250, 0.250, 0.250) and Os at (0.000, 0.000, 0.500).

---

#2
First-principles (PBE) data for a relaxed structure of LiY2Os, as listed in Alexandria via LeMat-Bulk.

The total magnetization is 0.000 μB/atom. The value obtained for the volume is 22.18 A^3/atom.

It has space group P4mm (No. 99), with a = 3.468 Å, b = 3.468 Å, c = 7.378 Å, α = 90.00°, β = 90.00° and γ = 90.00°. The distinct sites, in fractional coordinates, are Li at (0.000, 0.000, 0.000), Y at (0.000, 0.000, 0.365), Y at (0.500, 0.500, 0.768) and Os at (0.500, 0.500, 0.138).

---

Relative to the most stable one, in kJ/mol of atoms, the structures come out at #1 0.0; #2 34.5.

---

#1
First-principles (PBE) data for a relaxed structure of LiY2Os, as listed in Alexandria via LeMat-Bulk.

The total magnetization is 0.000 μB/atom. The value obtained for the volume is 20.29 A^3/atom.

It has space group F-43m (No. 216), with a = 6.873 Å, b = 6.873 Å, c = 6.873 Å, α = 90.00°, β = 90.00° and γ = 90.00°. The distinct sites, in fractional coordinates, are Li at (0.000, 0.000, 0.000), Y at (0.000, 0.000, 0.500), Y at (0.250, 0.250, 0.750) and Os at (0.250, 0.250, 0.250).

---

#2
First-principles (PBE) data for a relaxed structure of LiY2Os, as listed in Alexandria via LeMat-Bulk.

The total magnetization is 0.000 μB/atom. The value obtained for the volume is 22.39 A^3/atom.

It has space group Pmm2 (No. 25), with a = 3.456 Å, b = 4.357 Å, c = 5.947 Å, α = 90.00°, β = 90.00° and γ = 90.00°. The distinct sites, in fractional coordinates, are Li at (0.000, 0.000, 0.000), Y at (0.000, 0.000, 0.435), Y at (0.500, 0.500, 0.790) and Os at (0.500, 0.500, 0.294).

---

Relative to the most stable one, in kJ/mol of atoms, the structures come out at #1 4.3; #2 0.0.

---

#1
First-principles (PBE) data for a relaxed structure of LiY2Os, as listed in Alexandria via LeMat-Bulk.

The total magnetization is 0.000 μB/atom. The value obtained for the volume is 23.88 A^3/atom.

It has space group P4/mmm (No. 123), with a = 3.430 Å, b = 3.430 Å, c = 8.118 Å, α = 90.00°, β = 90.00° and γ = 90.00°. The distinct sites, in fractional coordinates, are Li at (0.000, 0.000, 0.000), Y at (0.500, 0.500, 0.296) and Os at (0.000, 0.000, 0.500).

---

#2
First-principles (PBE) data for a relaxed structure of LiY2Os, as listed in Alexandria via LeMat-Bulk.

The total magnetization is 0.000 μB/atom. The value obtained for the volume is 27.08 A^3/atom.

It has space group C2/m (No. 12), with a = 7.498 Å, b = 3.469 Å, c = 8.394 Å, α = 90.00°, β = 97.05° and γ = 90.00°. The distinct sites, in fractional coordinates, are Li at (0.000, 0.000, 0.000), Y at (0.232, 0.000, 0.690) and Os at (0.000, 0.500, 0.500).

---

#3
First-principles (PBE) data for a relaxed structure of LiY2Os, as listed in Alexandria via LeMat-Bulk.

The total magnetization is 0.000 μB/atom. The value obtained for the volume is 21.23 A^3/atom.

It has space group I-4m2 (No. 119), with a = 4.240 Å, b = 4.240 Å, c = 9.450 Å, α = 90.00°, β = 90.00° and γ = 90.00°. The distinct sites, in fractional coordinates, are Li at (0.000, 0.000, 0.000), Y at (0.000, 0.000, 0.500), Y at (0.000, 0.500, 0.250) and Os at (0.000, 0.500, 0.750).

---

#4
First-principles (PBE) data for a relaxed structure of LiY2Os, as listed in Alexandria via LeMat-Bulk.

The total magnetization is 0.000 μB/atom. The value obtained for the volume is 23.26 A^3/atom.

It has space group I-42d (No. 122), with a = 7.637 Å, b = 7.637 Å, c = 6.382 Å, α = 90.00°, β = 90.00° and γ = 90.00°. The distinct sites, in fractional coordinates, are Li at (0.000, 0.000, 0.000), Y at (0.231, 0.250, 0.625) and Os at (0.000, 0.000, 0.500).

---

Relative to the most stable one, in kJ/mol of atoms, the structures come out at #1 0.0; #2 24.1; #3 28.6; #4 43.6.

---

#1
First-principles (PBE) data for a relaxed structure of LiY2Os2, as listed in Alexandria via LeMat-Bulk.

The total magnetization is 0.000 μB/atom. The value obtained for the volume is 21.11 A^3/atom.

It has space group P4/mbm (No. 127), with a = 6.966 Å, b = 6.966 Å, c = 4.351 Å, α = 90.00°, β = 90.00° and γ = 90.00°. The distinct sites, in fractional coordinates, are Li at (0.000, 0.000, 0.000), Y at (0.176, 0.324, 0.500) and Os at (0.122, 0.622, 0.000).

---

#2
First-principles (PBE) data for a relaxed structure of LiY2Os2, as listed in Alexandria via LeMat-Bulk.

The total magnetization is 0.000 μB/atom. The value obtained for the volume is 23.83 A^3/atom.

It has space group I4/mmm (No. 139), with a = 5.372 Å, b = 5.372 Å, c = 8.256 Å, α = 90.00°, β = 90.00° and γ = 90.00°. The distinct sites, in fractional coordinates, are Li at (0.000, 0.000, 0.000), Y at (0.000, 0.500, 0.250) and Os at (0.000, 0.000, 0.354).

---

Relative to the most stable one, in kJ/mol of atoms, the structures come out at #1 0.0; #2 32.5.

---

#1
First-principles (PBE) data for a relaxed structure of Li3YOs, as listed in Alexandria via LeMat-Bulk.

The total magnetization is 0.000 μB/atom. The value obtained for the volume is 17.28 A^3/atom.

It has space group Pm-3m (No. 221), with a = 4.421 Å, b = 4.421 Å, c = 4.421 Å, α = 90.00°, β = 90.00° and γ = 90.00°. The distinct sites, in fractional coordinates, are Li at (0.000, 0.000, 0.500), Y at (0.000, 0.000, 0.000) and Os at (0.500, 0.500, 0.500).

---

#2
First-principles (PBE) data for a relaxed structure of Li3YOs, as listed in Alexandria via LeMat-Bulk.

The total magnetization is 0.000 μB/atom. The value obtained for the volume is 19.62 A^3/atom.

It has space group Pm-3m (No. 221), with a = 4.612 Å, b = 4.612 Å, c = 4.612 Å, α = 90.00°, β = 90.00° and γ = 90.00°. The distinct sites, in fractional coordinates, are Li at (0.000, 0.000, 0.500), Y at (0.500, 0.500, 0.500) and Os at (0.000, 0.000, 0.000).

---

Relative to the most stable one, in kJ/mol of atoms, the structures come out at #1 115.4; #2 0.0.